Material: LaCo2Cu
Method: DFT, PBE
State: relaxed

abc: 3.2462 3.2243 6.3941
angles: 90.00 90.00 90.00
Sites, in units of the cell vectors:
Co 0.0000 0.0000 0.0739
Co 0.0000 0.0000 0.4261
Cu 0.5000 0.5000 0.2500
La 0.5000 0.5000 0.7500

Formation energy in eV per formula unit: 1.17